Crystalline CuRu at its relaxed geometry, computed with GGA-PBE.

The calculated volume comes out at 63.24 Å³/cell. As for the space group: No. 194. The value obtained for the total energy is -5.713 eV per atom.

a b c (Å): 3.8872 3.8872 4.8328
angles (deg): 90.00 90.00 120.00
Fractional positions:
Ru  0.0000  0.0000  0.0000
Ru  0.0000  0.0000  0.5000
Cu  0.6667  0.3333  0.7500
Cu  0.3333  0.6667  0.2500